This record from Alexandria describes LaPr2Ho8 after structural relaxation. The functional is PBE-GGA.

Values from the calculation:
The calculated total energy comes out at -98.41 eV for the cell shown. The calculation puts the formation energy at 0.17 eV per atom.

Cell lengths 16.543, 6.665, 6.737 Å; angles 90.00, 99.47, 90.00 degrees
Space group C2/m (No. 12)
Asymmetric unit:
La  0.000  0.000  0.000 [2 per cell]
Pr  0.243  0.000  0.298 [4 per cell]
Ho  0.088  0.500  0.907 [4 per cell]
Ho  0.089  0.264  0.408 [8 per cell]
Ho  0.206  0.000  0.792 [4 per cell]